Entry 1:
Entry from Alexandria via LeMat-Bulk: an optimized crystal structure of Mn2PbSe (PBE).

```
Mn2PbSe
1.0
4.6114 0.0000 0.0000
0.0000 4.6114 0.0000
0.0000 0.0000 3.6760
Mn Pb Se
2 1 1
Direct
0.0000 0.5000 0.0000 Mn
0.5000 0.0000 0.0000 Mn
0.0000 0.0000 0.5000 Pb
0.5000 0.5000 0.5000 Se
```

Output
space-group type	P4/mmm (123)
distance to the lowest polymorph of the same formula	291.7	meV per atom



Entry 2:
Entry from Alexandria via LeMat-Bulk: an optimized crystal structure of MnPbSe3 (PBE).

```
MnPbSe3
1.0
4.8188 0.0000 0.0000
0.0000 4.8188 0.0000
0.0000 0.0000 4.8188
Mn Pb Se
1 1 3
Direct
0.0000 0.0000 0.0000 Mn
0.5000 0.5000 0.5000 Pb
0.0000 0.0000 0.5000 Se
0.0000 0.5000 0.0000 Se
0.5000 0.0000 0.0000 Se
```

Output
space-group type	Pm-3m (221)
distance to the lowest polymorph of the same formula	0.0	meV per atom